(1)
Material: Zr2MnP
Method: DFT, GGA-PBE
State: optimized geometry

a = 3.805 Å, b = 3.590 Å, c = 9.915 Å
α = 90.00°, β = 90.00°, γ = 90.00°
Space group Amm2 (No. 38)
Inequivalent atoms, fractional coordinates:
Zr  0.000  0.000  0.000 (multiplicity 2)
Zr  0.500  0.000  0.285 (multiplicity 2)
Mn  0.500  0.000  0.566 (multiplicity 2)
P  0.000  0.000  0.714 (multiplicity 2)

Output
- formation energy from the elements (meV per atom) = -750
- DFT total energy (Ry per atom) = -0.63716

(2)
Material: TlBi2AuS4
Method: DFT, GGA-PBE
State: optimized geometry

a = 4.239 Å, b = 13.325 Å, c = 15.224 Å
α = 90.00°, β = 90.00°, γ = 90.00°
Space group Cmcm (No. 63)
Inequivalent atoms, fractional coordinates:
Tl  0.000  0.132  0.250 (multiplicity 4)
Bi  0.000  0.366  0.057 (multiplicity 8)
Au  0.000  0.125  0.750 (multiplicity 4)
S  0.000  0.000  0.000 (multiplicity 4)
S  0.000  0.269  0.600 (multiplicity 8)
S  0.000  0.444  0.250 (multiplicity 4)

Output
- energy relative to the elements, uncorrected (eV per formula unit) = -2.0
- DFT total energy (Ry per atom) = -0.29304

(3)
Material: KCu2HCl6
Method: DFT, GGA-PBE
State: optimized geometry

a = 13.484 Å, b = 12.276 Å, c = 6.866 Å
α = 90.00°, β = 112.05°, γ = 90.00°
Space group C2/c (No. 15)
Inequivalent atoms, fractional coordinates:
K  0.000  0.154  0.250 (multiplicity 4)
Cu  0.224  0.442  0.173 (multiplicity 8)
H  0.000  0.366  0.750 (multiplicity 4)
Cl  0.059  0.359  0.993 (multiplicity 8)
Cl  0.102  0.085  0.738 (multiplicity 8)
Cl  0.218  0.401  0.491 (multiplicity 8)

Output
- DFT total energy (Ry per atom) = -0.22862

(4)
Material: Pr6SbP2Cl3
Method: DFT, GGA-PBE
State: optimized geometry

a = 18.657 Å, b = 4.259 Å, c = 8.589 Å
α = 90.00°, β = 102.52°, γ = 90.00°
Space group C2/m (No. 12)
Inequivalent atoms, fractional coordinates:
Pr  0.015  0.000  0.263 (multiplicity 4)
Pr  0.170  0.500  0.118 (multiplicity 4)
Pr  0.174  0.500  0.565 (multiplicity 4)
Sb  0.000  0.500  0.000 (multiplicity 2)
P  0.171  0.000  0.339 (multiplicity 4)
Cl  0.000  0.500  0.500 (multiplicity 2)
Cl  0.164  0.000  0.834 (multiplicity 4)

Output
- energy relative to the elements, uncorrected (eV per formula unit) = -17.9
- DFT total energy (Ry per atom) = -0.41102

(5)
Material: Ba2CdPb2
Method: DFT, GGA-PBE
State: optimized geometry

a = 6.958 Å, b = 6.958 Å, c = 9.142 Å
α = 90.00°, β = 90.00°, γ = 90.00°
Space group I4/mmm (No. 139)
Inequivalent atoms, fractional coordinates:
Ba  0.000  0.500  0.250 (multiplicity 4)
Cd  0.000  0.000  0.000 (multiplicity 2)
Pb  0.000  0.000  0.334 (multiplicity 4)

Output
- formation energy from the elements (meV per atom) = -185
- DFT total energy (Ry per atom) = -0.19262

(6)
Material: AcCdSi2Au6
Method: DFT, GGA-PBE
State: optimized geometry

a = 6.7060 Å, b = 6.7060 Å, c = 22.6143 Å
α = 90.00°, β = 90.00°, γ = 120.00°
Space group R-3 (No. 148, hexagonal axes)
Inequivalent atoms, fractional coordinates:
Ac  0.0000  0.0000  0.0000 (multiplicity 3)
Cd  0.0000  0.0000  0.5000 (multiplicity 3)
Si  0.0000  0.0000  0.2841 (multiplicity 6)
Au  0.0619  0.4798  0.0626 (multiplicity 18)

Output
- energy relative to the elements, uncorrected (eV per formula unit) = -1.2
- DFT total energy (Ry per atom) = -0.26977

(7)
Material: BiSI
Method: DFT, GGA-PBE
State: optimized geometry

a = 4.594 Å, b = 20.694 Å, c = 4.618 Å
α = 90.00°, β = 90.00°, γ = 90.00°
Space group Cmcm (No. 63)
Inequivalent atoms, fractional coordinates:
Bi  0.000  0.176  0.250 (multiplicity 4)
S  0.000  0.250  0.750 (multiplicity 4)
I  0.000  0.399  0.250 (multiplicity 4)

Output
- energy relative to the elements, uncorrected (eV per formula unit) = -1.0
- DFT total energy (Ry per atom) = -0.25762

(8)
Material: NpInS2
Method: DFT, GGA-PBE
State: optimized geometry

a = 3.9428 Å, b = 3.9428 Å, c = 26.6057 Å
α = 90.00°, β = 90.00°, γ = 120.00°
Space group R-3m (No. 166, hexagonal axes)
Inequivalent atoms, fractional coordinates:
Np  0.0000  0.0000  0.0000 (multiplicity 3)
In  0.0000  0.0000  0.5000 (multiplicity 3)
S  0.0000  0.0000  0.3879 (multiplicity 6)

Output
- energy relative to the elements, uncorrected (eV per formula unit) = -3.6
- DFT total energy (Ry per atom) = -0.50522